The following is a meta-GGA SCAN calculation of LiMnPO4 at its PBEsol-relaxed geometry, from the Alexandria database.

Lattice parameters (Å, degrees): 7.261 5.451 6.262 76.26 46.83 56.91
Element x y z (fractional)
Li (0.000, 0.000, 0.000)
Li (0.250, 0.250, 0.250)
Mn (0.377, 0.377, 0.623)
Mn (0.627, 0.627, 0.873)
P (0.695, 0.695, 0.305)
P (0.945, 0.945, 0.555)
O (0.031, 0.555, 0.119)
O (0.063, 0.613, 0.593)
O (0.131, 0.955, 0.219)
O (0.519, 0.657, 0.637)
O (0.555, 0.031, 0.295)
O (0.613, 0.063, 0.731)
O (0.657, 0.519, 0.187)
O (0.955, 0.131, 0.695)

Output
Relative energy among the computed polymorphs: 30 meV/atom
Volume: 147.65 Å³/cell
ρ: 3.53 Mg/m³
Uncorrected formation energy: -2.46 eV per atom